The following is a PBE-GGA calculation of a relaxed La3Al3Pd2 crystal, from the Alexandria database.

Values from the calculation:
As for the space group: Pnma. Its density is 6.16 g/cm3. The calculation puts the calculated total energy at -166.6 eV/cell.

Geometry as POSCAR:
```
La3Al3Pd2
1.0
8.5422 0.0000 0.0000
0.0000 15.8004 0.0000
0.0000 0.0000 5.6791
La Al Pd
12 12 8
direct
0.0408 0.1106 0.1109 La
0.0408 0.3894 0.1109 La
0.1839 0.2500 0.5886 La
0.3161 0.7500 0.0887 La
0.4592 0.6106 0.6109 La
0.4592 0.8894 0.6109 La
0.5408 0.1106 0.3891 La
0.5408 0.3894 0.3891 La
0.6839 0.2500 0.9114 La
0.8161 0.7500 0.4114 La
0.9592 0.6106 0.8891 La
0.9592 0.8894 0.8891 La
0.1654 0.7500 0.5802 Al
0.1813 0.0344 0.6041 Al
0.1813 0.4656 0.6041 Al
0.3187 0.5344 0.1041 Al
0.3187 0.9656 0.1041 Al
0.3346 0.2500 0.0802 Al
0.6654 0.7500 0.9198 Al
0.6813 0.0344 0.8959 Al
0.6813 0.4656 0.8959 Al
0.8187 0.5344 0.3959 Al
0.8187 0.9656 0.3959 Al
0.8346 0.2500 0.4198 Al
0.1038 0.6037 0.3703 Pd
0.1038 0.8963 0.3703 Pd
0.3962 0.1037 0.8703 Pd
0.3962 0.3963 0.8703 Pd
0.6038 0.6037 0.1297 Pd
0.6038 0.8963 0.1297 Pd
0.8962 0.1037 0.6297 Pd
0.8962 0.3963 0.6297 Pd
```